Record 1
# PBE YCu2HPd, optimized geometry
data_YCu2HPd
_symmetry_space_group_name_H-M 'P 4/m m m'
_symmetry_Int_Tables_number 123
_symmetry_space_group_name_Hall '-P 4 2'
_cell_length_a 5.0353
_cell_length_b 5.0353
_cell_length_c 3.6377
_cell_angle_alpha 90.00
_cell_angle_beta 90.00
_cell_angle_gamma 90.00
loop_
_atom_site_label
_atom_site_type_symbol
_atom_site_fract_x
_atom_site_fract_y
_atom_site_fract_z
Y1 Y 0.0000 0.0000 0.0000
Cu1 Cu 0.0000 0.5000 0.0000
H1 H 0.0000 0.0000 0.5000
Pd1 Pd 0.5000 0.5000 0.5000
# Raw total energy, eV per atom: -3.937

***

Record 2
# PBE Ac2Zn9Cu, optimized geometry
data_Ac2Zn9Cu
_symmetry_space_group_name_H-M 'R -3 m'
_symmetry_Int_Tables_number 166
_symmetry_space_group_name_Hall '-R 3 2"'
_cell_length_a 5.7074
_cell_length_b 5.7074
_cell_length_c 26.1010
_cell_angle_alpha 90.00
_cell_angle_beta 90.00
_cell_angle_gamma 120.00
loop_
_atom_site_label
_atom_site_type_symbol
_atom_site_fract_x
_atom_site_fract_y
_atom_site_fract_z
Ac1 Ac 0.0000 0.0000 0.1367
Zn1 Zn 0.0000 0.0000 0.3344
Zn2 Zn 0.0000 0.0000 0.5000
Zn3 Zn 0.0022 0.5011 0.9224
Cu1 Cu 0.0000 0.0000 0.0000
# Raw total energy, eV per atom: -1.945

***

Record 3
# PBE ZnCr2GaNi, optimized geometry
data_ZnCr2GaNi
_symmetry_space_group_name_H-M 'P 4/m m m'
_symmetry_Int_Tables_number 123
_symmetry_space_group_name_Hall '-P 4 2'
_cell_length_a 4.6787
_cell_length_b 4.6787
_cell_length_c 4.4859
_cell_angle_alpha 90.00
_cell_angle_beta 90.00
_cell_angle_gamma 90.00
loop_
_atom_site_label
_atom_site_type_symbol
_atom_site_fract_x
_atom_site_fract_y
_atom_site_fract_z
Zn1 Zn 0.0000 0.0000 0.0000
Cr1 Cr 0.0000 0.5000 0.5000
Ga1 Ga 0.0000 0.0000 0.5000
Ni1 Ni 0.5000 0.5000 0.0000
# Raw total energy, eV per atom: -4.662

***

Record 4
# PBE BaV2IrSe8, optimized geometry
data_BaV2IrSe8
_symmetry_space_group_name_H-M 'P -3'
_symmetry_Int_Tables_number 147
_symmetry_space_group_name_Hall '-P 3'
_cell_length_a 6.3228
_cell_length_b 6.3228
_cell_length_c 9.0345
_cell_angle_alpha 90.00
_cell_angle_beta 90.00
_cell_angle_gamma 120.00
loop_
_atom_site_label
_atom_site_type_symbol
_atom_site_fract_x
_atom_site_fract_y
_atom_site_fract_z
Ba1 Ba 0.0000 0.0000 0.0000
V1 V 0.3333 0.6667 0.7369
Ir1 Ir 0.0000 0.0000 0.5000
Se1 Se 0.0142 0.6896 0.3349
Se2 Se 0.3333 0.6667 0.9880
# Raw formation energy, eV per atom: -0.60